1 | V4SbMo: optimized geometry, GGA-PBE.

a = 5.002 Å, b = 5.002 Å, c = 5.002 Å
α = 60.00°, β = 60.00°, γ = 60.00°
Fractional positions:
V1 0.125 0.125 0.125
V2 0.125 0.125 0.626
V3 0.125 0.626 0.125
V4 0.626 0.125 0.125
Sb1 0.750 0.750 0.750
Mo1 0.500 0.500 0.500

Output
For the volume, the calculation gives 88.5 Å³ per cell. As for the density of states at the Fermi level: 4.44 states/eV per cell. Its space group is F-43m (216).

=====

2 | V4SbMo: optimized geometry, GGA-PBE.

a = 5.095 Å, b = 5.095 Å, c = 4.442 Å
α = 90.00°, β = 90.00°, γ = 128.96°
Fractional positions:
V1 0.176 0.824 0.000
V2 0.321 0.679 0.500
V3 0.679 0.321 0.500
V4 0.824 0.176 0.000
Sb1 0.000 0.000 0.500
Mo1 0.500 0.500 0.000

Output
For the volume, the calculation gives 89.7 Å³ per cell. As for the density of states at the Fermi level: 6.91 states/eV per cell. Its space group is Cmmm (65).

=====

Which structure is the least stable? The one labeled 1.